[1]
Computed, not measured: crystalline La2Tb2PrEr at its relaxed geometry at the GGA-PBE level of DFT.

M_tot, μB per formula unit: 0.000
Density, g/cm³: 7.33
Raw total energy, eV per atom: -4.676
Calculated formation energy, kJ per mole of atoms: 6.4

a b c (Å): 7.1028 5.7547 10.0138
angles (deg): 90.00 90.00 90.00
With the nearest neighbours (Å) after each atom.
Space group Pmma (No. 51)
Symmetry-distinct sites (fractional):
La: 0.0000 0.0000 0.0000  6 La 3.55-3.78, 6 Tb 3.77-3.78, 2 Er 3.81
La: 0.2500 0.5000 0.1689  5 Tb 3.32-3.55
Tb: 0.2500 0.0000 0.3334  3 Er 3.31-3.55, 2 La 3.32
Tb: 0.2500 0.5000 0.8329  2 Er 3.34, 3 La 3.36-3.55
Pr: 0.0000 0.5000 0.5000  2 Pr 3.55, 4 Er 3.76, 2 La 3.76, 6 Tb 3.77-3.78
Er: 0.2500 0.0000 0.6637  5 Tb 3.31-3.55

***

[2]
Computed, not measured: crystalline Dy2SnHg2 at its relaxed geometry at the GGA-PBE level of DFT.

M_tot, μB per formula unit: 0.000
Density, g/cm³: 10.10
Raw total energy, eV per atom: -3.183
Calculated formation energy, kJ per mole of atoms: -40.6

a b c (Å): 10.1269 4.4669 6.1489
angles (deg): 90.00 92.72 90.00
With the nearest neighbours (Å) after each atom.
Space group C2/m (No. 12)
Symmetry-distinct sites (fractional):
Dy: 0.1951 0.0000 0.2122  5 Hg 3.06-3.34, 3 Sn 3.22-3.41
Sn: 0.0000 0.5000 0.0000  4 Hg 3.18, 6 Dy 3.22-3.41
Hg: 0.1048 0.0000 0.6820  1 Hg 3.01, 5 Dy 3.06-3.34, 2 Sn 3.18

***

[3]
Computed, not measured: crystalline TeRu2Cl at its relaxed geometry at the GGA-PBE level of DFT.

M_tot, μB per formula unit: 0.022
Density, g/cm³: 8.78
Raw total energy, eV per atom: -5.074
Formation energy without anion corrections, eV/atom: 0.8108

a b c (Å): 3.7676 3.7676 9.7366
angles (deg): 90.00 90.00 90.00
With the nearest neighbours (Å) after each atom.
Space group I-4m2 (No. 119)
Symmetry-distinct sites (fractional):
Te: 0.0000 0.0000 0.0000  4 Ru 2.66
Ru: 0.0000 0.0000 0.5000  4 Te 2.66
Ru: 0.0000 0.5000 0.2500  4 Cl 2.66
Cl: 0.0000 0.5000 0.7500  4 Ru 2.66

***

[4]
Computed, not measured: crystalline ZrRe2Ru at its relaxed geometry at the GGA-PBE level of DFT.

M_tot, μB per formula unit: 0.000
Density, g/cm³: 14.27
Raw total energy, eV per atom: -10.595
Calculated formation energy, kJ per mole of atoms: 8.2

a b c (Å): 9.3660 2.9248 4.9014
angles (deg): 90.00 101.80 90.00
With the nearest neighbours (Å) after each atom.
Space group Cm (No. 8)
Symmetry-distinct sites (fractional):
Zr: 0.0000 0.0000 0.0000  3 Ru 2.68-2.83, 5 Re 2.84-2.96, 2 Zr 2.92
Re: 0.0120 0.5000 0.5002  5 Re 2.67-2.92, 2 Ru 2.75, 4 Zr 2.84-2.87
Re: 0.2717 0.5000 0.3377  5 Re 2.67-2.92, 2 Ru 2.71, 1 Zr 2.96
Ru: 0.2422 0.0000 0.7886  3 Zr 2.68-2.83, 4 Re 2.71-2.75, 2 Ru 2.92